Record 1
A plane-wave DFT calculation with PBE was carried out for crystalline KTe2N2 at its relaxed geometry.

Symmetry: No. 123

The structure in extended XYZ format:
```
5
Lattice="4.539 0.000 0.000 0.000 4.539 0.000 0.000 0.000 5.928" Properties=species:S:1:pos:R:3 pbc="T T T"
K 0.000 0.000 0.000
Te 2.269 2.269 0.000
Te 2.269 2.269 2.964
N 0.000 2.269 2.964
N 2.269 0.000 2.964
```

=====

Record 2
A plane-wave DFT calculation with PBE was carried out for crystalline K2TeN at its relaxed geometry.

Symmetry: No. 122

The structure in extended XYZ format:
```
8
Lattice="-5.746 5.746 2.209 5.746 -5.746 2.209 5.746 5.746 -2.209" Properties=species:S:1:pos:R:3 pbc="T T T"
K 0.075 2.873 0.552
K -2.873 5.671 1.657
K -0.075 8.618 0.552
K 2.873 5.821 1.657
Te 5.746 0.000 1.104
Te 0.000 0.000 2.209
N 0.000 0.000 0.000
N 0.000 5.746 1.104
```

=====

Record 3
A plane-wave DFT calculation with PBE was carried out for crystalline KTe2N2 at its relaxed geometry.

Symmetry: No. 123

The structure in extended XYZ format:
```
5
Lattice="4.840 0.000 0.000 0.000 4.840 0.000 0.000 0.000 7.140" Properties=species:S:1:pos:R:3 pbc="T T T"
K 0.000 0.000 0.000
Te 0.000 0.000 3.570
Te 2.420 2.420 3.570
N 0.000 2.420 0.000
N 2.420 0.000 0.000
```

=====

no.,N(E_F) (states/eV/f.u.),ΔE_f (raw) (eV/atom)
1,2.5,1.12
2,2.7,0.13
3,4.1,1.91